This record from Alexandria via LeMat-Bulk describes crystalline SmGaBr4 at its relaxed geometry. The functional is PBE-GGA.

Calculated values
Density of states at the Fermi level = 0.000 states/eV per cell
Space-group type = P-1
Energy relative to the elements, uncorrected = -8.507 eV/f.u.

```
6
Lattice="4.331 0.002 -0.001 -2.151 6.813 -1.385 0.002 0.195 7.928" Properties=species:S:1:pos:R:3 pbc="T T T"
Br 2.183 5.405 4.222
Br 2.166 1.765 6.751
Br 0.015 5.244 -0.209
Br -0.001 1.604 2.319
Sm -2.149 7.007 6.543
Ga 2.166 0.099 3.964
```